Density functional theory data (GGA-PBE) for crystalline Tc2PbW at its relaxed geometry.

## Properties
total magnetic moment = 0.00 μB per atom
symmetry = C2/m, No. 12
energy of formation from the pure elements = 0.580 eV/atom

abc: 4.7843 4.7843 5.2139
angles: 103.21 103.21 37.67
Atoms (fractional coordinates):
Tc: 0.2309 0.2309 0.2053
Tc: 0.7691 0.7691 0.7947
Pb: 0.0000 0.0000 0.5000
W: 0.5000 0.5000 0.0000